1.
## CuSi2Pt2 (PBE)

Data for a geometry-optimized CuSi2Pt2 structure.

```
CuSi2Pt2
1.0
7.072 0.000 0.000
0.000 7.072 0.000
0.000 0.000 2.982
Cu Si Pt
2 4 4
Cartesian
0.000 0.000 0.000
3.536 3.536 0.000
1.110 2.426 1.491
2.426 5.962 1.491
4.646 1.110 1.491
5.962 4.646 1.491
1.017 4.554 0.000
2.519 1.017 0.000
4.554 6.055 0.000
6.055 2.519 0.000
```

M_tot in μB/f.u.: 0.00
Crystal system: tetragonal

---

2.
## CuSi2Pt2 (PBE)

Data for a geometry-optimized CuSi2Pt2 structure.

```
CuSi2Pt2
1.0
3.699 0.000 0.000
0.000 3.699 0.000
0.000 0.000 11.505
Cu Si Pt
2 4 4
Cartesian
0.000 0.000 0.000
1.850 1.850 5.752
0.000 1.850 2.876
0.000 1.850 8.628
1.850 0.000 2.876
1.850 0.000 8.628
0.000 0.000 4.397
0.000 0.000 7.108
1.850 1.850 1.355
1.850 1.850 10.149
```

M_tot in μB/f.u.: 0.00
Crystal system: tetragonal

---

Which structure wins on stability? 2 wins.

---

1.
## YCuSi2Pt (PBE)

Data for a geometry-optimized YCuSi2Pt structure.

```
YCuSi2Pt
1.0
4.048 0.000 0.000
0.000 4.048 0.000
0.000 0.000 10.131
Y Cu Si Pt
2 2 4 2
Cartesian
0.000 0.000 0.000
2.024 2.024 5.065
0.000 2.024 2.533
2.024 0.000 7.598
0.000 0.000 3.895
0.000 0.000 6.236
2.024 2.024 1.170
2.024 2.024 8.961
0.000 2.024 7.598
2.024 0.000 2.533
```

M_tot in μB/f.u.: 0.00
Crystal system: tetragonal

---

2.
## YCuSi2Pt (PBE)

Data for a geometry-optimized YCuSi2Pt structure.

```
YCuSi2Pt
1.0
4.599 0.000 0.000
0.000 4.599 0.000
0.000 0.000 5.523
Y Cu Si Pt
1 1 2 1
Cartesian
0.000 0.000 0.000
2.300 2.300 0.000
0.000 2.300 2.761
2.300 0.000 2.761
0.000 0.000 2.761
```

M_tot in μB/f.u.: 0.00
Crystal system: tetragonal

---

Which structure wins on stability? 1 wins.

---

1.
## Sm6Cu2Pt (PBE)

Data for a geometry-optimized Sm6Cu2Pt structure.

```
Sm6Cu2Pt
1.0
6.674 0.000 0.000
0.000 7.384 0.000
-6.520 0.000 10.394
Sm Cu Pt
12 4 2
Cartesian
-2.269 1.376 4.423
-5.529 2.316 9.620
-1.140 4.955 4.458
-4.400 6.121 9.655
1.086 0.302 2.523
-2.174 3.390 7.720
2.328 3.994 2.674
-0.932 7.082 7.871
4.555 1.263 0.739
1.295 2.429 5.936
5.683 5.068 0.774
2.423 6.008 5.971
-3.653 0.844 7.718
-0.393 2.848 2.521
0.548 4.536 7.873
3.808 6.540 2.676
0.077 0.000 5.197
3.337 3.692 0.000
```

M_tot in μB/f.u.: 0.00
Crystal system: monoclinic

---

2.
## Sm6Cu2Pt (PBE)

Data for a geometry-optimized Sm6Cu2Pt structure.

```
Sm6Cu2Pt
1.0
-4.880 4.916 4.938
4.880 -4.916 4.938
4.880 4.916 -4.938
Sm Cu Pt
12 4 2
Cartesian
4.880 3.119 -2.532
2.938 0.000 1.703
6.822 0.000 1.703
2.314 3.211 0.000
2.566 -1.705 4.938
0.000 1.797 2.406
4.880 3.119 2.532
2.314 6.622 0.000
2.566 1.705 4.938
-1.942 4.916 3.234
1.942 4.916 3.234
0.000 1.797 7.469
4.880 1.424 0.000
4.880 0.000 3.750
0.000 4.916 1.188
0.000 3.493 4.938
0.000 0.000 0.000
0.000 0.000 4.938
```

M_tot in μB/f.u.: 0.00
Crystal system: orthorhombic

---

Which structure wins on stability? 2 wins.